SrY2Sc GGA-PBE optimized geometry; magnetic moment = 2.361 μB per formula unit; excess energy over the best structure of this formula in the dataset = 0.469 eV per atom; formation enthalpy at 0 K = 0.58 eV per atom; calculated total energy = -37.26 eV for the cell shown
1.0
-2.405 2.405 12.144
2.405 -2.405 12.144
2.405 2.405 -12.144
Sr Y Sc
2 4 2
Direct
0.000 0.000 0.000
0.750 0.250 0.500
0.140 0.625 0.015
0.375 0.390 0.515
0.610 0.125 0.985
0.875 0.860 0.485
0.250 0.750 0.500
0.500 0.500 0.000

=====

LaSc2Al GGA-PBE optimized geometry; magnetic moment = 0.000 μB per formula unit; formation enthalpy at 0 K = -0.19 eV per atom; calculated total energy = -22.11 eV for the cell shown
1.0
3.373 0.000 0.000
0.000 3.373 0.000
0.000 0.000 8.713
La Sc Al
1 2 1
Direct
0.000 0.000 0.000
0.500 0.500 0.299
0.500 0.500 0.701
0.000 0.000 0.500

=====

TlVBr6 GGA-PBE optimized geometry; magnetic moment = 0.044 μB per formula unit; excess energy over the best structure of this formula in the dataset = 0.040 eV per atom; E_form (uncorrected) = -59 kJ/mol of atoms; calculated total energy = -26.41 eV for the cell shown
1.0
3.549 2.049 6.430
-3.549 2.049 6.430
0.000 -4.098 6.430
Tl V Br
1 1 6
Direct
0.000 0.000 0.000
0.500 0.500 0.500
0.102 0.589 0.589
0.411 0.411 0.898
0.411 0.898 0.411
0.589 0.102 0.589
0.589 0.589 0.102
0.898 0.411 0.411